Below is an optimized crystal structure of HoHf2Sc8, with properties calculated at the PBE level.

E_form: 176 meV/atom
Raw total energy: -6.655 eV per atom
D(E_F): 13.2 states/eV per cell
Calculated volume: 273 Å³/f.u.
Size of the total moment: 0.000 μB per atom

Cell and atoms, written as CIF:
```
data_HoHf2Sc8
_chemical_formula_sum 'Ho1 Hf2 Sc8'
_cell_length_a 5.3802
_cell_length_b 8.4188
_cell_length_c 8.6989
_cell_angle_alpha 61.06
_cell_angle_beta 72.82
_cell_angle_gamma 52.37
_symmetry_space_group_name_H-M 'P 1'
_symmetry_Int_Tables_number 1
_symmetry_space_group_name_Hall 'P 1'
loop_
_atom_site_label
_atom_site_fract_x
_atom_site_fract_y
_atom_site_fract_z
_atom_site_occupancy
Sc1 0.7953 0.0956 0.2596 1
Sc2 0.2047 0.6449 0.2596 1
Sc3 0.7953 0.3551 0.7404 1
Sc4 0.5000 0.7926 0.4148 1
Sc5 0.2738 0.4602 0.0000 1
Sc6 0.7262 0.5398 0.0000 1
Sc7 0.5000 0.2074 0.5852 1
Sc8 0.2047 0.9044 0.7404 1
Hf1 0.0000 0.6901 0.6199 1
Hf2 0.0000 0.3099 0.3801 1
Ho1 0.5000 0.0000 0.0000 1
```